Entry 1:
Below is TaCuIr3 after structural relaxation, with properties calculated at the PBE level.

```
TaCuIr3
1.0
4.765 0.000 0.000
0.000 4.765 0.000
0.000 0.000 4.765
Ta Cu Ir
1 1 3
Cartesian
0.000 0.000 0.000
2.383 2.383 2.383
0.000 0.000 2.383
0.000 2.383 0.000
2.383 0.000 0.000
```

- Volume: 21.6 A^3/atom
- Total magnetization: 0.0 Bohr magnetons per cell
- Energy relative to the lowest polymorph listed for this composition: 454.5 meV/atom
- E_form: 1629 meV per atom
- Space-group type: No. 221

=====

Entry 2:
Below is PrCd3Au2 after structural relaxation, with properties calculated at the PBE level.

```
PrCd3Au2
1.0
-2.009 4.863 7.297
2.009 -4.863 7.297
2.009 4.863 -7.297
Pr Cd Au
2 6 4
Cartesian
0.000 0.000 1.996
0.000 0.000 12.599
2.009 2.819 -2.505
0.000 3.447 0.000
2.009 2.819 2.505
0.000 2.044 4.793
0.000 6.279 0.000
0.000 2.044 9.802
2.009 1.418 0.000
2.009 0.000 4.491
0.000 4.863 2.806
0.000 3.445 7.297
```

- Volume: 23.8 A^3/atom
- Total magnetization: 0.0 Bohr magnetons per cell
- E_form: -405 meV per atom
- Space-group type: No. 71

=====

Entry 3:
Below is ZnHI after structural relaxation, with properties calculated at the PBE level.

```
ZnHI
1.0
4.135 0.000 0.000
0.207 5.232 0.000
2.048 0.186 8.139
Zn H I
2 2 2
Cartesian
1.118 2.108 3.034
5.272 3.310 5.105
1.133 3.821 3.438
5.257 1.597 4.702
3.205 4.075 6.513
3.185 1.343 1.626
```

- Volume: 29.3 A^3/atom
- Total magnetization: 0.0 Bohr magnetons per cell
- Energy relative to the lowest polymorph listed for this composition: 0.0 meV/atom
- Space-group type: No. 2

=====

Entry 4:
Below is NdZn3PdPt after structural relaxation, with properties calculated at the PBE level.

```
NdZn3PdPt
1.0
4.007 -5.562 0.000
4.007 5.562 0.000
0.000 0.000 5.530
Nd Zn Pd Pt
2 6 2 2
Cartesian
4.007 3.358 4.148
4.007 -3.358 1.383
1.937 0.000 0.000
1.937 0.000 2.765
4.007 1.967 1.383
4.007 -1.967 4.148
6.078 0.000 0.000
6.078 0.000 2.765
4.007 0.551 4.148
4.007 -0.551 1.383
4.007 4.531 1.383
4.007 -4.531 4.148
```

- Volume: 20.5 A^3/atom
- Total magnetization: 0.0 Bohr magnetons per cell
- E_form: -463 meV per atom
- Space-group type: No. 63

=====

Entry 5:
Below is NdSiPt after structural relaxation, with properties calculated at the PBE level.

```
NdSiPt
1.0
4.180 0.000 0.000
-2.090 3.620 0.000
0.000 0.000 4.295
Nd Si Pt
1 1 1
Cartesian
0.000 0.000 0.000
0.000 2.413 2.148
2.090 1.207 2.148
```

- Formation energy from raw total energies: -1101 meV per atom
- Volume: 21.7 A^3/atom
- Total magnetization: 0.0 Bohr magnetons per cell
- Space-group type: No. 187

=====

Entry 6:
Below is CaLa2GaCo after structural relaxation, with properties calculated at the PBE level.

```
CaLa2GaCo
1.0
5.189 0.000 0.000
0.000 5.189 0.000
0.000 0.000 5.434
Ca La Ga Co
1 2 1 1
Cartesian
0.000 0.000 0.000
0.000 2.595 2.717
2.595 0.000 2.717
2.595 2.595 0.000
0.000 0.000 2.717
```

- Volume: 29.3 A^3/atom
- Total magnetization: 0.0 Bohr magnetons per cell
- Energy relative to the lowest polymorph listed for this composition: 55.3 meV/atom
- E_form: -126 meV per atom
- Space-group type: No. 123

=====

Entry 7:
Below is TbPrSm5Dy2 after structural relaxation, with properties calculated at the PBE level.

```
TbPrSm5Dy2
1.0
2.832 -10.116 0.000
2.832 10.116 0.000
0.000 0.000 10.738
Tb Pr Sm Dy
2 2 10 4
Cartesian
2.832 8.349 5.369
2.832 -8.349 0.000
2.832 4.105 0.580
2.832 -4.105 5.949
2.832 9.678 8.432
2.832 7.969 0.757
2.832 6.028 8.049
2.832 5.707 3.778
2.832 0.348 0.749
2.832 -0.348 6.118
2.832 -5.707 9.147
2.832 -6.028 2.680
2.832 -7.969 6.126
2.832 -9.678 3.063
2.832 2.353 3.926
2.832 2.220 8.389
2.832 -2.220 3.020
2.832 -2.353 9.295
```

- Volume: 34.2 A^3/atom
- Total magnetization: 0.0 Bohr magnetons per cell
- E_form: 148 meV per atom
- Space-group type: No. 36

=====

Entry 8:
Below is Tm7IrSe5 after structural relaxation, with properties calculated at the PBE level.

```
Tm7IrSe5
1.0
1.952 -6.621 0.000
1.952 6.621 0.000
0.000 0.000 24.173
Tm Ir Se
14 2 10
Cartesian
1.952 6.009 12.087
1.952 4.862 5.272
1.952 4.701 19.131
1.952 2.798 10.520
1.952 2.550 13.755
1.952 1.437 2.916
1.952 1.091 20.949
1.952 -1.091 8.862
1.952 -1.437 15.003
1.952 -2.550 1.668
1.952 -2.798 22.606
1.952 -4.701 7.044
1.952 -4.862 17.359
1.952 -6.009 0.000
1.952 2.569 0.269
1.952 -2.569 12.356
1.952 5.999 2.709
1.952 5.796 21.670
1.952 3.764 7.850
1.952 3.612 16.467
1.952 0.098 6.113
1.952 -0.098 18.199
1.952 -3.612 4.380
1.952 -3.764 19.937
1.952 -5.796 9.583
1.952 -5.999 14.796
```

- Formation energy from raw total energies: -1480 meV per atom
- Volume: 24.0 A^3/atom
- Total magnetization: 0.0 Bohr magnetons per cell
- Space-group type: No. 36

=====

Entry 9:
Below is BaLuAs2 after structural relaxation, with properties calculated at the PBE level.

```
BaLuAs2
1.0
4.344 0.000 0.000
-2.172 3.762 0.000
0.000 0.000 21.765
Ba Lu As
3 3 6
Cartesian
0.000 0.000 0.000
0.000 2.508 14.510
2.172 1.254 7.255
0.000 0.000 10.882
0.000 2.508 3.628
2.172 1.254 18.137
0.000 0.000 5.071
0.000 0.000 16.694
0.000 2.508 9.439
0.000 2.508 19.581
2.172 1.254 2.184
2.172 1.254 12.326
```

- Volume: 29.6 A^3/atom
- Total magnetization: 0.0 Bohr magnetons per cell
- E_form: -1098 meV per atom
- Space-group type: No. 166

=====

Entry 10:
Below is Tb8InPt2 after structural relaxation, with properties calculated at the PBE level.

```
Tb8InPt2
1.0
4.379 -6.782 0.000
4.379 6.782 0.000
-1.421 0.000 5.301
Tb In Pt
8 1 2
Cartesian
0.965 1.694 3.038
4.379 3.452 0.000
0.965 -1.694 3.038
3.157 0.000 1.032
4.179 0.000 4.269
6.371 1.694 2.263
4.379 -3.452 0.000
6.371 -1.694 2.263
0.000 0.000 0.000
3.668 2.650 2.650
3.668 -2.650 2.650
```

- Volume: 28.6 A^3/atom
- Total magnetization: 0.0 Bohr magnetons per cell
- E_form: -503 meV per atom
- Space-group type: No. 12

=====

Entry 11:
Below is CeCd3 after structural relaxation, with properties calculated at the PBE level.

```
CeCd3
1.0
7.306 0.000 0.000
0.000 7.306 0.000
0.000 0.000 7.306
Ce Cd
4 12
Cartesian
0.000 0.000 0.000
0.000 3.653 3.653
3.653 0.000 3.653
3.653 3.653 0.000
0.000 0.000 3.653
0.000 3.653 0.000
1.827 1.827 1.827
1.827 1.827 5.480
1.827 5.480 1.827
1.827 5.480 5.480
3.653 0.000 0.000
3.653 3.653 3.653
5.480 1.827 1.827
5.480 1.827 5.480
5.480 5.480 1.827
5.480 5.480 5.480
```

- Volume: 24.4 A^3/atom
- Total magnetization: 3.3 Bohr magnetons per cell
- E_form: -217 meV per atom
- Space-group type: No. 225

=====

Entry 12:
Below is La12Sm7Tm after structural relaxation, with properties calculated at the PBE level.

```
La12Sm7Tm
1.0
9.852 5.688 2.141
-9.852 5.688 2.141
0.000 -11.376 2.141
La Sm Tm
12 7 1
Cartesian
-3.492 -2.022 2.001
-4.014 -6.956 3.208
-8.031 -0.002 3.216
3.497 -2.013 2.001
-0.005 4.035 2.001
-4.017 6.954 3.208
4.017 -6.954 3.216
0.005 -4.035 4.422
-3.497 2.013 4.422
8.031 0.002 3.208
4.014 6.956 3.216
3.492 2.022 4.422
0.005 -2.846 1.269
-2.467 1.419 1.269
2.462 1.427 1.269
0.000 0.000 3.212
-2.462 -1.427 5.155
2.467 -1.419 5.155
-0.005 2.846 5.155
0.000 0.000 0.000
```

- Volume: 36.0 A^3/atom
- Total magnetization: 0.0 Bohr magnetons per cell
- Energy relative to the lowest polymorph listed for this composition: 0.0 meV/atom
- E_form: 174 meV per atom
- Space-group type: No. 148

=====

Entry 13:
Below is KSc2Cu after structural relaxation, with properties calculated at the PBE level.

```
KSc2Cu
1.0
3.151 0.000 0.000
0.000 5.729 0.000
0.000 0.000 11.720
K Sc Cu
2 4 2
Cartesian
0.000 0.000 0.000
1.575 2.864 5.860
0.000 2.864 2.305
0.000 2.864 9.415
1.575 0.000 3.555
1.575 0.000 8.165
0.000 0.000 5.860
1.575 2.864 0.000
```

- Volume: 26.4 A^3/atom
- Total magnetization: 0.0 Bohr magnetons per cell
- Energy relative to the lowest polymorph listed for this composition: 199.2 meV/atom
- E_form: 387 meV per atom
- Space-group type: No. 71

=====

Entry 14:
Below is Cr2GeP2 after structural relaxation, with properties calculated at the PBE level.

```
Cr2GeP2
1.0
3.319 0.000 0.000
0.000 3.319 0.000
0.000 0.000 11.889
Cr Ge P
4 2 4
Cartesian
0.000 0.000 1.362
0.000 0.000 10.526
1.659 1.659 4.582
1.659 1.659 7.306
0.000 0.000 5.944
1.659 1.659 0.000
0.000 1.659 2.972
0.000 1.659 8.916
1.659 0.000 2.972
1.659 0.000 8.916
```

- Volume: 13.1 A^3/atom
- Total magnetization: 0.0 Bohr magnetons per cell
- Energy relative to the lowest polymorph listed for this composition: 0.0 meV/atom
- E_form: -91 meV per atom
- Space-group type: No. 139

=====

Entry 15:
Below is K2CuRu after structural relaxation, with properties calculated at the PBE level.

```
K2CuRu
1.0
3.042 0.000 0.000
-1.521 2.634 0.000
0.000 0.000 33.029
K Cu Ru
6 3 3
Cartesian
0.000 0.000 8.263
0.000 0.000 24.766
0.000 1.756 13.756
0.000 1.756 30.282
1.521 0.878 2.747
1.521 0.878 19.272
0.000 0.000 16.514
0.000 1.756 5.505
1.521 0.878 27.524
0.000 0.000 0.000
0.000 1.756 22.019
1.521 0.878 11.010
```

- Volume: 22.1 A^3/atom
- Total magnetization: 3.4 Bohr magnetons per cell
- Energy relative to the lowest polymorph listed for this composition: 401.9 meV/atom
- E_form: 1099 meV per atom
- Space-group type: No. 166

=====

Entry 16:
Below is NdDy4Er4 after structural relaxation, with properties calculated at the PBE level.

```
NdDy4Er4
1.0
-5.316 5.316 2.496
5.316 -5.316 2.496
5.316 5.316 -2.496
Nd Dy Er
1 4 4
Cartesian
0.000 0.000 0.000
3.547 0.000 0.000
7.085 0.000 0.000
0.000 3.547 0.000
0.000 7.085 0.000
3.535 3.535 0.000
1.781 -1.781 2.496
-1.781 1.781 2.496
1.781 1.781 2.496
```

- Volume: 31.4 A^3/atom
- Total magnetization: 0.0 Bohr magnetons per cell
- Energy relative to the lowest polymorph listed for this composition: 0.0 meV/atom
- E_form: 21 meV per atom
- Space-group type: No. 139

=====

Entry 17:
Below is RbSn2TeO8 after structural relaxation, with properties calculated at the PBE level.

```
RbSn2TeO8
1.0
4.633 0.000 0.000
0.193 4.994 0.000
0.019 0.010 7.110
Rb Sn Te O
1 2 1 8
Cartesian
0.000 0.000 0.000
2.417 2.499 1.879
2.428 2.505 5.231
0.009 0.005 3.555
1.236 4.155 4.947
1.238 4.158 2.161
1.280 1.608 3.556
1.318 2.306 0.001
3.527 2.698 7.109
3.565 3.396 3.554
3.607 0.846 4.949
3.609 0.849 2.163
```

- Formation energy from raw total energies: -1046 meV per atom
- Volume: 13.7 A^3/atom
- Total magnetization: 0.2 Bohr magnetons per cell
- Space-group type: No. 2

=====

Entry 18:
Below is Ca2Nd2Y5 after structural relaxation, with properties calculated at the PBE level.

```
Ca2Nd2Y5
1.0
10.491 -1.762 0.000
10.491 1.762 0.000
-1.970 0.000 8.621
Ca Nd Y
2 2 5
Cartesian
3.558 0.000 0.250
15.454 0.000 8.371
7.131 0.000 5.650
11.881 0.000 2.971
0.000 0.000 0.000
-0.149 0.000 5.750
3.307 0.000 5.466
15.705 0.000 3.155
19.161 0.000 2.871
```

- Volume: 35.4 A^3/atom
- Total magnetization: 0.0 Bohr magnetons per cell
- E_form: 154 meV per atom
- Space-group type: No. 12

=====

Entry 19:
Below is Li2HgS after structural relaxation, with properties calculated at the PBE level.

```
Li2HgS
1.0
3.898 0.000 0.000
-1.949 3.376 0.000
0.000 0.000 20.394
Li Hg S
6 3 3
Cartesian
0.000 0.000 0.000
0.000 0.000 5.168
0.000 2.250 13.596
0.000 2.250 18.764
1.949 1.125 6.798
1.949 1.125 11.966
0.000 0.000 9.176
0.000 2.250 2.378
1.949 1.125 15.974
0.000 0.000 12.761
0.000 2.250 5.963
1.949 1.125 19.559
```

- Formation energy from raw total energies: -856 meV per atom
- Volume: 22.4 A^3/atom
- Total magnetization: 0.0 Bohr magnetons per cell
- Energy relative to the lowest polymorph listed for this composition: 6.6 meV/atom
- Space-group type: No. 160

=====

Entry 20:
Below is MnHPd3 after structural relaxation, with properties calculated at the PBE level.

```
MnHPd3
1.0
0.000 5.253 5.253
5.253 0.000 5.253
5.253 5.253 0.000
Mn H Pd
4 4 12
Cartesian
0.000 0.000 0.000
2.627 2.627 0.000
2.627 0.000 2.627
0.000 2.627 2.627
5.253 2.627 2.627
2.627 5.253 2.627
2.627 2.627 5.253
5.253 5.253 5.253
3.940 3.940 1.897
3.940 1.897 3.940
5.982 3.940 3.940
6.566 6.566 4.524
6.566 4.524 6.566
8.609 6.566 6.566
1.897 3.940 3.940
3.940 5.982 3.940
3.940 3.940 5.982
4.524 6.566 6.566
6.566 8.609 6.566
6.566 6.566 8.609
```

- Volume: 14.5 A^3/atom
- Total magnetization: 19.8 Bohr magnetons per cell
- Energy relative to the lowest polymorph listed for this composition: 248.9 meV/atom
- Space-group type: No. 227